DFT (PBE) results for an optimized crystal structure of GePIrN2.

Lattice parameters (Å, degrees): 5.4068 3.0739 8.5397 90.00 118.07 90.00
Positions (direct):
Ir: 0.9362 0.0000 0.0741
Ir: 0.9362 0.5000 0.5741
P: 0.2051 0.0000 0.7786
P: 0.2051 0.5000 0.2786
N: 0.2351 0.0000 0.9747
N: 0.2351 0.5000 0.4747
N: 0.5484 0.0000 0.8026
N: 0.5484 0.5000 0.3026
Ge: 0.5910 0.5000 0.6722
Ge: 0.5910 0.0000 0.1722

The calculation puts the uncorrected energy at -7.309 eV per atom. The value obtained for the total magnetization is 0.0 μB per formula unit.